# EuGaAg2 PBE-GGA relaxed
data_EuGaAg2
_cell_length_a 3.649
_cell_length_b 3.649
_cell_length_c 6.837
_cell_angle_alpha 90.00
_cell_angle_beta 90.00
_cell_angle_gamma 90.00
_symmetry_space_group_name_H-M 'P 1'
_symmetry_Int_Tables_number 1
loop_
_symmetry_equiv_pos_as_xyz
'x,y,z'
loop_
_atom_site_label
_atom_site_type_symbol
_atom_site_fract_x
_atom_site_fract_y
_atom_site_fract_z
Ag1 Ag 0.000 0.000 0.209
Ag2 Ag 0.000 0.000 0.791
Ga1 Ga 0.500 0.500 0.000
Eu1 Eu 0.500 0.500 0.500
# energy of formation = -0.131 eV/atom
# mass density = 8.0 Mg/m³
# energy relative to the lowest polymorph listed for this composition = 0.1096 eV per atom

***

# YMg4Cu PBE-GGA relaxed
data_YMg4Cu
_cell_length_a 12.289
_cell_length_b 12.289
_cell_length_c 3.853
_cell_angle_alpha 90.00
_cell_angle_beta 90.00
_cell_angle_gamma 113.30
_symmetry_space_group_name_H-M 'P 1'
_symmetry_Int_Tables_number 1
loop_
_symmetry_equiv_pos_as_xyz
'x,y,z'
loop_
_atom_site_label
_atom_site_type_symbol
_atom_site_fract_x
_atom_site_fract_y
_atom_site_fract_z
Mg1 Mg 0.052 0.211 0.500
Mg2 Mg 0.500 0.500 0.500
Mg3 Mg 0.625 0.139 0.500
Mg4 Mg 0.789 0.948 0.500
Mg5 Mg 0.835 0.165 0.000
Mg6 Mg 0.948 0.789 0.500
Mg7 Mg 0.587 0.926 0.000
Mg8 Mg 0.861 0.375 0.500
Mg9 Mg 0.165 0.835 0.000
Mg10 Mg 0.000 0.000 0.000
Mg11 Mg 0.211 0.052 0.500
Mg12 Mg 0.375 0.861 0.500
Mg13 Mg 0.926 0.587 0.000
Mg14 Mg 0.074 0.413 0.000
Mg15 Mg 0.139 0.625 0.500
Mg16 Mg 0.413 0.074 0.000
Y1 Y 0.302 0.302 0.000
Y2 Y 0.631 0.369 0.000
Y3 Y 0.369 0.631 0.000
Y4 Y 0.698 0.698 0.000
Cu1 Cu 0.765 0.555 0.500
Cu2 Cu 0.445 0.235 0.500
Cu3 Cu 0.235 0.445 0.500
Cu4 Cu 0.555 0.765 0.500
# energy of formation = -0.135 eV/atom
# mass density = 3.1 Mg/m³
# energy relative to the lowest polymorph listed for this composition = 0.0000 eV per atom

***

# Li2NiSn5 PBE-GGA relaxed
data_Li2NiSn5
_cell_length_a 4.822
_cell_length_b 7.068
_cell_length_c 12.260
_cell_angle_alpha 90.00
_cell_angle_beta 90.00
_cell_angle_gamma 109.94
_symmetry_space_group_name_H-M 'P 1'
_symmetry_Int_Tables_number 1
loop_
_symmetry_equiv_pos_as_xyz
'x,y,z'
loop_
_atom_site_label
_atom_site_type_symbol
_atom_site_fract_x
_atom_site_fract_y
_atom_site_fract_z
Sn1 Sn 0.890 0.779 0.604
Sn2 Sn 0.666 0.333 0.953
Sn3 Sn 0.666 0.333 0.547
Sn4 Sn 0.334 0.667 0.047
Sn5 Sn 0.110 0.221 0.396
Sn6 Sn 0.334 0.667 0.453
Sn7 Sn 0.890 0.779 0.896
Sn8 Sn 0.110 0.221 0.104
Sn9 Sn 0.306 0.612 0.750
Sn10 Sn 0.694 0.388 0.250
Ni1 Ni 0.725 0.450 0.750
Ni2 Ni 0.275 0.550 0.250
Li1 Li 0.898 0.795 0.141
Li2 Li 0.898 0.795 0.359
Li3 Li 0.102 0.205 0.641
Li4 Li 0.102 0.205 0.859
# energy of formation = -0.057 eV/atom
# mass density = 5.6 Mg/m³

***

Question: Look up the energy of formation of the first one.
Answer: -0.131 eV/atom